GeBIr2 | PBE | relaxed

abc: 3.2213 3.2213 6.3594
angles: 75.33 75.33 60.00
Positions (direct):
Ir 0.2272 0.2272 0.3183
Ir 0.7728 0.7728 0.6817
B 0.5000 0.5000 0.5000
Ge 0.0000 0.0000 0.0000

Results
symmetry	No. 166
energy relative to the elements	0	kJ/mol of atoms
excess energy over the best structure of this formula in the dataset	0.084	eV/atom


Ta2TiSb | PBE | relaxed

abc: 3.9922 3.9922 10.5243
angles: 79.07 79.07 90.00
Positions (direct):
Sb 0.0000 0.0000 0.0000
Sb 0.7500 0.2500 0.5000
Ta 0.6240 0.1250 0.2500
Ta 0.8750 0.8740 0.7500
Ta 0.3750 0.3760 0.7500
Ta 0.1260 0.6250 0.2500
Ti 0.5000 0.5000 0.0000
Ti 0.2500 0.7500 0.5000

Results
uncorrected formation energy	342	meV/atom
symmetry	No. 122


Li2I2Cl7 | PBE | relaxed

abc: 7.4399 7.4399 14.6662
angles: 104.93 104.93 92.26
Site moments in Bohr magnetons follow the coordinates.
Positions (direct):
I 0.3168 0.1485 0.2131  0.06
I 0.6832 0.8514 0.7869  0.06
I 0.1485 0.3168 0.7131  0.06
I 0.8514 0.6832 0.2869  0.06
Cl 0.3769 0.3995 0.8870  0.00
Cl 0.6005 0.6231 0.6130  0.00
Cl 0.3995 0.3769 0.3870  0.00
Cl 0.0833 0.4366 0.0815  0.33
Cl 0.4366 0.0833 0.5815  0.33
Cl 0.9167 0.5634 0.9185  0.33
Cl 0.5634 0.9167 0.4185  0.33
Cl 0.2696 0.9529 0.0422  0.00
Cl 0.7304 0.0471 0.9578  0.00
Cl 0.0471 0.7304 0.4578  0.00
Cl 0.6231 0.6005 0.1130  0.00
Cl 0.9529 0.2696 0.5422  0.00
Cl 0.0757 0.9243 0.2500  0.01
Cl 0.9243 0.0757 0.7500  0.01
Li 0.3908 0.7486 0.4891  0.00
Li 0.2514 0.6092 0.0109  0.00
Li 0.6092 0.2514 0.5109  0.00
Li 0.7486 0.3908 0.9891  0.00

Results
uncorrected formation energy	-649	meV/atom
symmetry	No. 15


CaSm2 | PBE | relaxed

abc: 3.6997 3.6997 8.3002
angles: 102.88 102.88 90.00
Positions (direct):
Ca 0.0000 0.0000 0.0000
Sm 0.3247 0.3247 0.6494
Sm 0.6753 0.6753 0.3506

Results
symmetry	No. 139
energy relative to the elements	4	kJ/mol of atoms
excess energy over the best structure of this formula in the dataset	0.000	eV/atom


BaErMgAl | PBE | relaxed

abc: 5.5553 5.5553 5.5553
angles: 60.00 60.00 60.00
Positions (direct):
Mg 0.0000 0.0000 0.0000
Al 0.5000 0.5000 0.5000
Ba 0.7500 0.7500 0.7500
Er 0.2500 0.2500 0.2500

Results
symmetry	No. 216
energy relative to the elements	-1	kJ/mol of atoms


Co2SiIr | PBE | relaxed

abc: 4.8675 4.8675 4.8675
angles: 146.90 129.73 61.52
Site moments in Bohr magnetons follow the coordinates.
Positions (direct):
Co 0.4749 0.4749 0.0000  1.32
Co 0.0251 0.0251 0.0000  1.32
Ir 0.7500 0.2500 0.5000  0.30
Si 0.2500 0.7500 0.5000  -0.03

Results
uncorrected formation energy	-272	meV/atom
symmetry	No. 71


CsK3Nb | PBE | relaxed

abc: 6.9070 6.9070 6.9070
angles: 90.00 90.00 90.00
Site moments in Bohr magnetons follow the coordinates.
Positions (direct):
Nb 0.0000 0.0000 0.0000  3.23
K 0.0000 0.0000 0.5000  0.04
K 0.5000 0.0000 0.0000  0.05
K 0.0000 0.5000 0.0000  0.04
Cs 0.5000 0.5000 0.5000  0.01

Results
symmetry	No. 221
energy relative to the elements	91	kJ/mol of atoms
excess energy over the best structure of this formula in the dataset	0.000	eV/atom


Ge2AsF8 | PBE | relaxed

abc: 5.1556 6.0402 6.0402
angles: 72.47 103.34 103.34
Positions (direct):
Ge 0.2537 0.6497 0.6497
Ge 0.7463 0.3503 0.3503
F 0.7851 0.1357 0.1357
F 0.1315 0.4073 0.4073
F 0.8685 0.5927 0.5927
F 0.2149 0.8643 0.8643
F 0.7713 0.6901 0.0830
F 0.2287 0.3099 0.9170
F 0.7713 0.0830 0.6901
F 0.2287 0.9170 0.3099
As 0.0000 0.0000 0.0000

Results
uncorrected formation energy	-2017	meV/atom
symmetry	No. 12


Please write out number 6 again, unchanged.
Co2SiIr | PBE | relaxed

abc: 4.8675 4.8675 4.8675
angles: 146.90 129.73 61.52
Site moments in Bohr magnetons follow the coordinates.
Positions (direct):
Co 0.4749 0.4749 0.0000  1.32
Co 0.0251 0.0251 0.0000  1.32
Ir 0.7500 0.2500 0.5000  0.30
Si 0.2500 0.7500 0.5000  -0.03

Results
uncorrected formation energy	-272	meV/atom
symmetry	No. 71


Copy entry 2 word for word.
Ta2TiSb | PBE | relaxed

abc: 3.9922 3.9922 10.5243
angles: 79.07 79.07 90.00
Positions (direct):
Sb 0.0000 0.0000 0.0000
Sb 0.7500 0.2500 0.5000
Ta 0.6240 0.1250 0.2500
Ta 0.8750 0.8740 0.7500
Ta 0.3750 0.3760 0.7500
Ta 0.1260 0.6250 0.2500
Ti 0.5000 0.5000 0.0000
Ti 0.2500 0.7500 0.5000

Results
uncorrected formation energy	342	meV/atom
symmetry	No. 122